# YTiTl2Pb PBE optimized geometry
data_YTiTl2Pb
_cell_length_a 5.817
_cell_length_b 5.817
_cell_length_c 5.047
_cell_angle_alpha 90.00
_cell_angle_beta 90.00
_cell_angle_gamma 90.00
_symmetry_space_group_name_H-M 'P 4/m m m'
_symmetry_Int_Tables_number 123
_symmetry_space_group_name_Hall '-P 4 2'
loop_
_atom_site_label
_atom_site_type_symbol
_atom_site_fract_x
_atom_site_fract_y
_atom_site_fract_z
Y1 Y 0.000 0.000 0.000
Ti1 Ti 0.000 0.000 0.500
Tl1 Tl 0.000 0.500 0.000
Pb1 Pb 0.500 0.500 0.500
# Calculated density = 7.32 g cm⁻³
# Formation enthalpy at 0 K = 0.865 eV/atom